Record 1
Here is a geometry-optimized NdGdP structure from the Alexandria database. Energies are from PBE.

Summary:
* relative energy among the computed polymorphs: 0 meV/atom
* space-group type: P3m1
* DOS(E_F): 2.73 states/eV/f.u.
* M_tot: 8.1 μB/f.u.
* E_form: -960 meV/atom
* crystal system: trigonal

Lattice parameters (Å, degrees): 3.9682 3.9682 6.5721 90.00 90.00 120.00
Closest atoms and distances in Å follow each position.
Sites, in units of the cell vectors:
Nd: 0.0000 0.0000 0.0000  3 P 2.85
Gd: 0.3333 0.6667 0.4976  3 P 2.78
P: 0.6667 0.3333 0.2589  3 Gd 2.78, 3 Nd 2.85

Record 2
Here is a geometry-optimized NdGdPa structure from the Alexandria database. Energies are from PBE.

Summary:
* relative energy among the computed polymorphs: 11 meV/atom
* space-group type: I4mm
* DOS(E_F): 4.75 states/eV/f.u.
* M_tot: 7.0 μB/f.u.
* E_form: 169 meV/atom
* crystal system: tetragonal

Lattice parameters (Å, degrees): 8.1663 8.1663 8.1663 155.87 155.87 34.39
Closest atoms and distances in Å follow each position.
Sites, in units of the cell vectors:
Nd: 0.0000 0.0000 0.0000  4 Nd 3.41, 4 Pa 3.43
Gd: 0.6928 0.6928 0.0000  4 Pa 3.37, 4 Gd 3.41
Pa: 0.3438 0.3438 0.0000  4 Gd 3.37, 4 Pa 3.41, 4 Nd 3.43

Record 3
Here is a geometry-optimized NdGdPa structure from the Alexandria database. Energies are from PBE.

Summary:
* relative energy among the computed polymorphs: 0 meV/atom
* space-group type: P3m1
* DOS(E_F): 4.62 states/eV/f.u.
* M_tot: 7.3 μB/f.u.
* E_form: 158 meV/atom
* crystal system: trigonal

Lattice parameters (Å, degrees): 3.4579 3.4579 8.7111 90.00 90.00 120.00
Closest atoms and distances in Å follow each position.
Sites, in units of the cell vectors:
Nd: 0.0000 0.0000 0.0000  3 Pa 3.43, 6 Nd 3.46, 3 Gd 3.78
Gd: 0.3333 0.6667 0.6312  3 Pa 3.37, 6 Gd 3.46
Pa: 0.6667 0.3333 0.3203  3 Gd 3.37, 3 Nd 3.43, 6 Pa 3.46

Record 4
Here is a geometry-optimized Nd2GdPb structure from the Alexandria database. Energies are from PBE.

Summary:
* relative energy among the computed polymorphs: 151 meV/atom
* space-group type: Fm-3m
* DOS(E_F): 5.64 states/eV/f.u.
* M_tot: 8.2 μB/f.u.
* E_form: -188 meV/atom
* crystal system: cubic

Lattice parameters (Å, degrees): 5.6030 5.6030 5.6030 60.00 60.00 60.00
Closest atoms and distances in Å follow each position.
Sites, in units of the cell vectors:
Nd: 0.2500 0.2500 0.2500  4 Gd 3.43, 4 Pb 3.43
Nd: 0.7500 0.7500 0.7500  4 Gd 3.43, 4 Pb 3.43
Gd: 0.0000 0.0000 0.0000  8 Nd 3.43
Pb: 0.5000 0.5000 0.5000  8 Nd 3.43

Record 5
Here is a geometry-optimized Nd2GdPb structure from the Alexandria database. Energies are from PBE.

Summary:
* relative energy among the computed polymorphs: 0 meV/atom
* space-group type: P4/mmm
* DOS(E_F): 3.56 states/eV/f.u.
* M_tot: 7.8 μB/f.u.
* E_form: -339 meV/atom
* crystal system: tetragonal

Lattice parameters (Å, degrees): 4.9888 4.9888 4.9324 90.00 90.00 90.00
Closest atoms and distances in Å follow each position.
Sites, in units of the cell vectors:
Nd: 0.0000 0.5000 0.0000  4 Gd 3.51, 4 Pb 3.51, 4 Nd 3.53
Nd: 0.5000 0.0000 0.0000  4 Gd 3.51, 4 Pb 3.51, 4 Nd 3.53
Gd: 0.0000 0.0000 0.5000  8 Nd 3.51, 4 Pb 3.53
Pb: 0.5000 0.5000 0.5000  8 Nd 3.51, 4 Gd 3.53

Record 6
Here is a geometry-optimized Nd2GdPb structure from the Alexandria database. Energies are from PBE.

Summary:
* relative energy among the computed polymorphs: 369 meV/atom
* space-group type: R-3m
* DOS(E_F): 6.90 states/eV/f.u.
* M_tot: 8.2 μB/f.u.
* E_form: 31 meV/atom
* crystal system: trigonal

Lattice parameters (Å, degrees): 12.4053 12.4053 12.4053 16.41 16.41 16.41
Closest atoms and distances in Å follow each position.
Sites, in units of the cell vectors:
Nd: 0.0916 0.0916 0.0916  1 Gd 3.36, 3 Pb 3.43, 6 Nd 3.54
Nd: 0.9084 0.9084 0.9084  1 Gd 3.36, 3 Pb 3.43, 6 Nd 3.54
Gd: 0.0000 0.0000 0.0000  2 Nd 3.36, 6 Gd 3.54
Pb: 0.5000 0.5000 0.5000  6 Nd 3.43, 6 Pb 3.54

Record 7
Here is a geometry-optimized PrNdGdPb structure from the Alexandria database. Energies are from PBE.

Summary:
* space-group type: F-43m
* DOS(E_F): 5.58 states/eV/f.u.
* M_tot: 8.1 μB/f.u.
* E_form: -190 meV/atom
* crystal system: cubic

Lattice parameters (Å, degrees): 5.6200 5.6200 5.6200 60.00 60.00 60.00
Closest atoms and distances in Å follow each position.
Sites, in units of the cell vectors:
Pr: 0.0000 0.0000 0.0000  4 Gd 3.44, 4 Pb 3.44
Nd: 0.5000 0.5000 0.5000  4 Gd 3.44, 4 Pb 3.44
Gd: 0.7500 0.7500 0.7500  4 Pr 3.44, 4 Nd 3.44
Pb: 0.2500 0.2500 0.2500  4 Pr 3.44, 4 Nd 3.44

Record 8
Here is a geometry-optimized NdGdPtPb structure from the Alexandria database. Energies are from PBE.

Summary:
* space-group type: F-43m
* DOS(E_F): 3.04 states/eV/f.u.
* M_tot: 7.2 μB/f.u.
* E_form: -699 meV/atom
* crystal system: cubic

Lattice parameters (Å, degrees): 5.2940 5.2940 5.2940 60.00 60.00 60.00
Closest atoms and distances in Å follow each position.
Sites, in units of the cell vectors:
Nd: 0.0000 0.0000 0.0000  4 Pt 3.24, 4 Pb 3.24
Gd: 0.5000 0.5000 0.5000  4 Pb 3.24, 4 Pt 3.24
Pt: 0.7500 0.7500 0.7500  4 Gd 3.24, 4 Nd 3.24
Pb: 0.2500 0.2500 0.2500  4 Gd 3.24, 4 Nd 3.24

Record 9
Here is a geometry-optimized NdGdRhPb structure from the Alexandria database. Energies are from PBE.

Summary:
* space-group type: F-43m
* DOS(E_F): 3.42 states/eV/f.u.
* M_tot: 7.1 μB/f.u.
* E_form: -464 meV/atom
* crystal system: cubic

Lattice parameters (Å, degrees): 5.2619 5.2619 5.2619 60.00 60.00 60.00
Closest atoms and distances in Å follow each position.
Sites, in units of the cell vectors:
Nd: 0.0000 0.0000 0.0000  4 Pb 3.22, 4 Rh 3.22
Gd: 0.5000 0.5000 0.5000  4 Pb 3.22, 4 Rh 3.22
Rh: 0.2500 0.2500 0.2500  4 Gd 3.22, 4 Nd 3.22
Pb: 0.7500 0.7500 0.7500  4 Gd 3.22, 4 Nd 3.22

Record 10
Here is a geometry-optimized NdGdRuPb structure from the Alexandria database. Energies are from PBE.

Summary:
* space-group type: F-43m
* DOS(E_F): 2.53 states/eV/f.u.
* M_tot: 6.9 μB/f.u.
* E_form: -199 meV/atom
* crystal system: cubic

Lattice parameters (Å, degrees): 5.2298 5.2298 5.2298 60.00 60.00 60.00
Closest atoms and distances in Å follow each position.
Sites, in units of the cell vectors:
Nd: 0.0000 0.0000 0.0000  4 Pb 3.20, 4 Ru 3.20
Gd: 0.5000 0.5000 0.5000  4 Pb 3.20, 4 Ru 3.20
Ru: 0.2500 0.2500 0.2500  4 Gd 3.20, 4 Nd 3.20
Pb: 0.7500 0.7500 0.7500  4 Gd 3.20, 4 Nd 3.20

Record 11
Here is a geometry-optimized NdGdSnPb structure from the Alexandria database. Energies are from PBE.

Summary:
* space-group type: F-43m
* DOS(E_F): 4.76 states/eV/f.u.
* M_tot: 7.4 μB/f.u.
* E_form: -511 meV/atom
* crystal system: cubic

Lattice parameters (Å, degrees): 5.4994 5.4994 5.4994 60.00 60.00 60.00
Closest atoms and distances in Å follow each position.
Sites, in units of the cell vectors:
Nd: 0.0000 0.0000 0.0000  4 Sn 3.37, 4 Pb 3.37
Gd: 0.5000 0.5000 0.5000  4 Sn 3.37, 4 Pb 3.37
Sn: 0.7500 0.7500 0.7500  4 Gd 3.37, 4 Nd 3.37
Pb: 0.2500 0.2500 0.2500  4 Gd 3.37, 4 Nd 3.37

Record 12
Here is a geometry-optimized NdGdZnPb structure from the Alexandria database. Energies are from PBE.

Summary:
* space-group type: F-43m
* DOS(E_F): 4.15 states/eV/f.u.
* M_tot: 7.3 μB/f.u.
* E_form: -396 meV/atom
* crystal system: cubic

Lattice parameters (Å, degrees): 5.3550 5.3550 5.3550 60.00 60.00 60.00
Closest atoms and distances in Å follow each position.
Sites, in units of the cell vectors:
Nd: 0.0000 0.0000 0.0000  4 Zn 3.28, 4 Pb 3.28
Gd: 0.5000 0.5000 0.5000  4 Zn 3.28, 4 Pb 3.28
Zn: 0.7500 0.7500 0.7500  4 Gd 3.28, 4 Nd 3.28
Pb: 0.2500 0.2500 0.2500  4 Gd 3.28, 4 Nd 3.28

Record 13
Here is a geometry-optimized NdGdPd structure from the Alexandria database. Energies are from PBE.

Summary:
* relative energy among the computed polymorphs: 0 meV/atom
* space-group type: I4mm
* DOS(E_F): 2.56 states/eV/f.u.
* M_tot: 8.1 μB/f.u.
* E_form: -495 meV/atom
* crystal system: tetragonal

Lattice parameters (Å, degrees): 6.5517 6.5517 6.5517 147.63 147.63 46.43
Closest atoms and distances in Å follow each position.
Sites, in units of the cell vectors:
Nd: 0.0000 0.0000 0.0000  4 Pd 3.15, 1 Gd 3.41
Gd: 0.7165 0.7165 0.0000  4 Pd 3.05
Pd: 0.3505 0.3505 0.0000  4 Gd 3.05, 4 Nd 3.15

Record 14
Here is a geometry-optimized NdGdPd2 structure from the Alexandria database. Energies are from PBE.

Summary:
* relative energy among the computed polymorphs: 1 meV/atom
* space-group type: P4/mmm
* DOS(E_F): 3.06 states/eV/f.u.
* M_tot: 7.2 μB/f.u.
* E_form: -783 meV/atom
* crystal system: tetragonal

Lattice parameters (Å, degrees): 5.1109 5.1109 3.5161 90.00 90.00 90.00
Closest atoms and distances in Å follow each position.
Sites, in units of the cell vectors:
Nd: 0.0000 0.0000 0.0000  8 Pd 3.10
Gd: 0.5000 0.5000 0.0000  8 Pd 3.10
Pd: 0.0000 0.5000 0.5000  4 Gd 3.10, 4 Nd 3.10
Pd: 0.5000 0.0000 0.5000  4 Gd 3.10, 4 Nd 3.10

Record 15
Here is a geometry-optimized NdGd3Pd structure from the Alexandria database. Energies are from PBE.

Summary:
* space-group type: Pm-3m
* DOS(E_F): 8.89 states/eV/f.u.
* M_tot: 22.7 μB/f.u.
* E_form: -147 meV/atom
* crystal system: cubic

Lattice parameters (Å, degrees): 5.5359 5.5359 5.5359 90.00 90.00 90.00
Closest atoms and distances in Å follow each position.
Sites, in units of the cell vectors:
Nd: 0.0000 0.0000 0.0000  12 Gd 3.91
Gd: 0.0000 0.5000 0.5000  2 Pd 2.77
Gd: 0.5000 0.0000 0.5000  2 Pd 2.77
Gd: 0.5000 0.5000 0.0000  2 Pd 2.77
Pd: 0.5000 0.5000 0.5000  6 Gd 2.77

Record 16
Here is a geometry-optimized NdGdPd structure from the Alexandria database. Energies are from PBE.

Summary:
* relative energy among the computed polymorphs: 85 meV/atom
* space-group type: F-43m
* DOS(E_F): 4.15 states/eV/f.u.
* M_tot: 7.3 μB/f.u.
* E_form: -411 meV/atom
* crystal system: cubic

Lattice parameters (Å, degrees): 4.9867 4.9867 4.9867 60.00 60.00 60.00
Closest atoms and distances in Å follow each position.
Sites, in units of the cell vectors:
Nd: 0.0000 0.0000 0.0000  4 Pd 3.05
Gd: 0.5000 0.5000 0.5000  4 Pd 3.05
Pd: 0.2500 0.2500 0.2500  4 Gd 3.05, 4 Nd 3.05

Record 17
Here is a geometry-optimized NdGdPd structure from the Alexandria database. Energies are from PBE.

Summary:
* relative energy among the computed polymorphs: 128 meV/atom
* space-group type: P3m1
* DOS(E_F): 2.86 states/eV/f.u.
* M_tot: 7.3 μB/f.u.
* E_form: -367 meV/atom
* crystal system: trigonal

Lattice parameters (Å, degrees): 4.8268 4.8268 3.9442 90.00 90.00 120.00
Closest atoms and distances in Å follow each position.
Sites, in units of the cell vectors:
Nd: 0.0000 0.0000 0.0000  3 Pd 3.05, 3 Gd 3.30
Gd: 0.3333 0.6667 0.4500  3 Pd 2.94
Pd: 0.6667 0.3333 0.6843  3 Gd 2.94, 3 Nd 3.05

Record 18
Here is a geometry-optimized NdGdPd2 structure from the Alexandria database. Energies are from PBE.

Summary:
* relative energy among the computed polymorphs: 87 meV/atom
* space-group type: R-3m
* DOS(E_F): 2.57 states/eV/f.u.
* M_tot: 7.1 μB/f.u.
* E_form: -697 meV/atom
* crystal system: trigonal

Lattice parameters (Å, degrees): 7.2098 7.2098 7.2098 33.61 33.61 33.61
Closest atoms and distances in Å follow each position.
Sites, in units of the cell vectors:
Nd: 0.0000 0.0000 0.0000  6 Pd 2.98
Gd: 0.5000 0.5000 0.5000  6 Pd 2.91
Pd: 0.2473 0.2473 0.2473  3 Gd 2.91, 3 Nd 2.98
Pd: 0.7527 0.7527 0.7527  3 Gd 2.91, 3 Nd 2.98

Record 19
Here is a geometry-optimized NdGdPd2 structure from the Alexandria database. Energies are from PBE.

Summary:
* relative energy among the computed polymorphs: 0 meV/atom
* space-group type: Fm-3m
* DOS(E_F): 3.72 states/eV/f.u.
* M_tot: 7.2 μB/f.u.
* E_form: -784 meV/atom
* crystal system: cubic

Lattice parameters (Å, degrees): 5.0688 5.0688 5.0688 60.00 60.00 60.00
Closest atoms and distances in Å follow each position.
Sites, in units of the cell vectors:
Nd: 0.0000 0.0000 0.0000  8 Pd 3.10
Gd: 0.5000 0.5000 0.5000  8 Pd 3.10
Pd: 0.2500 0.2500 0.2500  4 Gd 3.10, 4 Nd 3.10
Pd: 0.7500 0.7500 0.7500  4 Gd 3.10, 4 Nd 3.10

Record 20
Here is a geometry-optimized NdGdPdPt structure from the Alexandria database. Energies are from PBE.

Summary:
* space-group type: F-43m
* DOS(E_F): 3.30 states/eV/f.u.
* M_tot: 7.2 μB/f.u.
* E_form: -950 meV/atom
* crystal system: cubic

Lattice parameters (Å, degrees): 5.0569 5.0569 5.0569 60.00 60.00 60.00
Closest atoms and distances in Å follow each position.
Sites, in units of the cell vectors:
Nd: 0.0000 0.0000 0.0000  4 Pt 3.10, 4 Pd 3.10
Gd: 0.5000 0.5000 0.5000  4 Pd 3.10, 4 Pt 3.10
Pd: 0.7500 0.7500 0.7500  4 Gd 3.10, 4 Nd 3.10
Pt: 0.2500 0.2500 0.2500  4 Gd 3.10, 4 Nd 3.10